4
Lattice="-5.688 7.200 -4.858 -7.102 4.407 -6.159 -8.150 5.600 -3.164" Properties=species:S:1:pos:R:3 comment="ScIn2Sb, optimized geometry, DFT PBE" sg="No. 166" pbc="T T T"
Sb -5.235 4.302 -3.545
Sc -15.705 12.905 -10.635
In -0.077 0.064 -0.052
In -10.393 8.540 -7.038


6
Lattice="0.000 4.265 4.265 4.265 0.000 4.265 4.265 4.265 0.000" Properties=species:S:1:pos:R:3 comment="ScIn4Sb, optimized geometry, DFT PBE" sg="No. 216" pbc="T T T"
In 5.331 5.331 3.198
In 3.198 5.331 5.331
In 5.331 3.198 5.331
In 3.198 3.198 3.198
Sb 6.397 6.397 6.397
Sc 0.000 0.000 0.000


5
Lattice="-4.119 3.397 -1.687 -3.317 -2.018 4.035 1.840 3.967 3.497" Properties=species:S:1:pos:R:3 comment="ScIn3Sb, optimized geometry, DFT PBE" sg="No. 221" pbc="T T T"
In 0.920 1.984 1.748
In -2.060 1.698 -0.844
In -1.658 -1.009 2.017
Sc -2.798 2.673 2.922
Sb 0.000 0.000 0.000


4
Lattice="3.212 0.382 0.000 -0.381 3.212 0.000 0.000 0.000 9.523" Properties=species:S:1:pos:R:3 comment="ScIn2Sb, optimized geometry, DFT PBE" sg="No. 123" pbc="T T T"
In 0.000 0.000 9.313
In 0.000 0.000 4.971
Sb 1.415 1.797 2.381
Sc 1.415 1.797 7.142


10
Lattice="-3.394 6.264 2.749 -5.922 -1.155 -4.680 -2.117 -2.605 3.322" Properties=species:S:1:pos:R:3 comment="ScIn2Sb2, optimized geometry, DFT PBE" sg="No. 127" pbc="T T T"
Sc 0.000 0.000 0.000
Sc -4.658 2.554 -0.965
Sb -3.019 3.857 1.101
Sb -6.297 1.252 -3.031
Sb -6.714 4.634 -0.645
Sb -2.602 0.475 -1.286
In -5.639 -0.992 -1.014
In -8.238 1.964 -0.353
In -3.195 0.540 1.745
In -5.795 3.496 2.406


4
Lattice="4.097 0.000 0.000 0.000 4.095 0.000 0.000 0.000 5.930" Properties=species:S:1:pos:R:3 comment="ScIn2Sb, optimized geometry, DFT PBE" sg="No. 123" pbc="T T T"
In 0.000 0.000 5.901
In 0.000 0.000 2.994
Sb 2.048 2.048 1.483
Sc 2.048 2.048 4.448


4
Lattice="-4.612 -1.614 3.032 1.173 -0.918 5.554 1.083 4.309 -3.650" Properties=species:S:1:pos:R:3 comment="ScIn2Sb, optimized geometry, DFT PBE" sg="No. 44" pbc="T T T"
Sb -1.720 -1.266 4.294
In -3.439 -2.532 8.585
In -2.625 0.714 1.838
Sc 0.268 1.063 3.097


4
Lattice="-3.085 3.818 -3.786 -5.171 0.132 -3.417 -3.103 1.970 2.138" Properties=species:S:1:pos:R:3 comment="ScIn2Sb, optimized geometry, DFT PBE" sg="No. 12" pbc="T T T"
In -3.103 1.970 2.137
In -5.678 2.960 -2.531
Sc -8.519 4.440 -3.799
Sb -2.840 1.480 -1.266


3
Lattice="4.917 0.000 0.000 2.458 4.258 0.000 2.458 1.419 4.014" Properties=species:S:1:pos:R:3 comment="ScInSb, optimized geometry, DFT PBE" sg="No. 216" pbc="T T T"
Sb 4.917 2.839 2.007
Sc 7.375 4.258 3.011
In 0.000 0.000 0.000


5
Lattice="5.351 0.000 0.000 0.000 5.174 0.000 0.000 0.000 5.351" Properties=species:S:1:pos:R:3 comment="Sc2InSiSb, optimized geometry, DFT PBE" sg="No. 123" pbc="T T T"
Sc 0.000 0.000 2.676
Sc 2.676 0.000 0.000
Si 0.000 2.587 0.000
Sb 0.000 0.000 0.000
In 2.676 2.587 2.676


5
Lattice="-0.284 -2.300 5.193 5.156 -2.285 -0.730 2.321 4.553 2.143" Properties=species:S:1:pos:R:3 comment="ScInSbTe2, optimized geometry, DFT PBE" sg="No. 123" pbc="T T T"
Te 2.578 -1.142 -0.365
Te -0.142 -1.150 2.597
Sb 1.161 2.276 1.072
Sc 3.597 -0.016 3.303
In 0.000 0.000 0.000


5
Lattice="-2.961 -3.524 -3.186 0.703 -4.038 3.812 -4.661 1.603 2.558" Properties=species:S:1:pos:R:3 comment="ScInSbTe2, optimized geometry, DFT PBE" sg="No. 123" pbc="T T T"
Te -1.480 -1.762 -1.593
Te 0.352 -2.019 1.906
Sc 0.000 0.000 0.000
In -3.459 -2.979 1.592
Sb -2.331 0.802 1.279


5
Lattice="-0.933 -2.756 -4.414 -2.514 -3.461 2.692 -4.490 2.692 -0.732" Properties=species:S:1:pos:R:3 comment="Sc2TiInSb, optimized geometry, DFT PBE" sg="No. 123" pbc="T T T"
Ti -1.257 -1.731 1.346
Sb 0.000 0.000 0.000
Sc -0.467 -1.378 -2.207
Sc -2.245 1.346 -0.366
In -3.969 -1.762 -1.227


5
Lattice="-1.255 -0.597 -5.493 -4.835 -2.192 1.343 -2.345 5.158 -0.025" Properties=species:S:1:pos:R:3 comment="ScTlIn2Sb, optimized geometry, DFT PBE" sg="No. 123" pbc="T T T"
Tl -4.218 1.184 -2.087
In -1.173 2.579 -0.012
In -0.628 -0.299 -2.747
Sc 0.000 0.000 0.000
Sb -2.418 -1.096 0.672


5
Lattice="-4.526 -1.850 -2.078 2.416 -0.646 -4.688 1.433 -5.126 1.444" Properties=species:S:1:pos:R:3 comment="Sc2VInSb, optimized geometry, DFT PBE" sg="No. 123" pbc="T T T"
Sb 0.000 0.000 0.000
Sc 1.208 -0.323 -2.344
Sc -2.263 -0.925 -1.039
In 0.716 -2.563 0.722
V -0.339 -3.811 -2.661


5
Lattice="5.207 0.000 0.000 0.000 5.155 0.000 0.000 0.000 5.207" Properties=species:S:1:pos:R:3 comment="ScZnInSb2, optimized geometry, DFT PBE" sg="No. 123" pbc="T T T"
Sb 2.604 0.000 0.000
Sb 0.000 0.000 2.604
In 2.604 2.578 2.604
Sc 0.000 2.578 0.000
Zn 0.000 0.000 0.000


4
Lattice="-1.106 3.076 -5.004 -2.522 1.052 1.204 0.546 5.670 3.364" Properties=species:S:1:pos:R:3 comment="InSbSe2, optimized geometry, DFT PBE" sg="No. 6" pbc="T T T"
Sb -2.210 7.498 1.528
Se -1.732 5.874 3.993
Se -1.359 3.976 -0.825
In -0.747 2.531 1.721


5
Lattice="4.296 0.000 0.000 0.000 4.296 0.000 2.148 2.148 7.714" Properties=species:S:1:pos:R:3 comment="InSb2Se2, optimized geometry, DFT PBE" sg="No. 139" pbc="T T T"
Sb 2.148 4.296 3.857
Sb 4.296 2.148 3.857
Se 2.148 2.148 1.310
Se 4.296 4.296 6.404
In 0.000 0.000 0.000


14
Lattice="4.013 0.000 0.000 -2.007 6.765 0.000 0.000 0.000 14.098" Properties=species:S:1:pos:R:3 comment="InSb2Se4, optimized geometry, DFT PBE" sg="No. 63" pbc="T T T"
Sb 0.000 1.861 0.901
Sb 0.000 1.861 6.148
Sb 2.007 4.905 13.197
Sb 2.007 4.905 7.950
Se 2.007 6.193 10.574
Se 0.000 0.573 3.525
Se 0.000 3.025 8.779
Se 2.007 0.000 7.049
Se 2.007 3.741 5.320
Se 0.000 3.025 12.369
Se 2.007 3.741 1.729
Se 2.007 0.000 0.000
In 2.007 1.370 10.574
In 0.000 5.396 3.525


4
Lattice="7.825 1.433 -0.390 5.039 6.155 0.390 -6.158 -4.258 2.716" Properties=species:S:1:pos:R:3 comment="InSbSe2, optimized geometry, DFT PBE" sg="No. 44" pbc="T T T"
Se 0.774 0.456 0.000
Se 4.414 0.700 1.163
Sb 2.055 2.491 1.553
In 5.895 3.478 0.000


Spin magnetization, record by record: 0.0, 0.0, 0.0, 0.5, 0.0, 0.0, 0.0, 0.0, 0.0, 0.0, 0.0, 0.0, 1.0, 0.0, 3.8, 0.0, 0.0, 0.0, 0.0, 0.0 Bohr magnetons per cell
Raw formation energy, record by record: -0.045, 0.069, 0.645, -0.062, -0.158, -0.184, -0.302, -0.322, -0.230, 0.390, 0.424, -0.193, 0.192, 0.136, 0.783, 0.273, -0.116, 0.120, -0.248, -0.155 eV/atom